The following is a GGA-PBE calculation of a geometry-optimized Er4Te3Au structure, from Alexandria via LeMat-Bulk.

Output
total magnetization: 0.00 μB per formula unit
formation energy from raw total energies: -889 kJ/mol of formula units
raw total energy: -40.2 eV/f.u.
D(E_F): 9.4 states/eV/cell

Cell and atoms, written as CIF:
```
data_Er4Te3Au
_symmetry_space_group_name_H-M 'C m m m'
_symmetry_Int_Tables_number 65
_symmetry_space_group_name_Hall '-C 2 2'
_cell_length_a 8.868
_cell_length_b 12.235
_cell_length_c 4.164
_cell_angle_alpha 90.00
_cell_angle_beta 90.00
_cell_angle_gamma 90.00
loop_
_atom_site_label
_atom_site_fract_x
_atom_site_fract_y
_atom_site_fract_z
Er1 0.000 0.237 0.000
Er2 0.225 0.000 0.500
Te1 0.000 0.500 0.000
Te2 0.250 0.250 0.500
Au1 0.000 0.000 0.000
```

***

The following is a GGA-PBE calculation of a geometry-optimized Er4Te2Au structure, from Alexandria via LeMat-Bulk.

Output
total magnetization: 0.00 μB per formula unit
formation energy from raw total energies: -600 kJ/mol of formula units
raw total energy: -34.0 eV/f.u.
D(E_F): 11.6 states/eV/cell

Cell and atoms, written as CIF:
```
data_Er4Te2Au
_symmetry_space_group_name_H-M 'P b a m'
_symmetry_Int_Tables_number 55
_cell_length_a 7.752
_cell_length_b 12.239
_cell_length_c 4.366
_cell_angle_alpha 90.00
_cell_angle_beta 90.00
_cell_angle_gamma 90.00
loop_
_symmetry_equiv_pos_as_xyz
'x,y,z'
'-x,-y,-z'
'-x,-y,z'
'x,y,-z'
'x+1/2,-y+1/2,-z'
'-x+1/2,y+1/2,z'
'-x+1/2,y+1/2,-z'
'x+1/2,-y+1/2,z'
loop_
_atom_site_label
_atom_site_fract_x
_atom_site_fract_y
_atom_site_fract_z
Er1 0.140 0.211 0.000
Er2 0.211 0.943 0.500
Te1 0.077 0.670 0.500
Au1 0.000 0.000 0.000
```

***

The following is a GGA-PBE calculation of a geometry-optimized Er7Te2Au2 structure, from Alexandria via LeMat-Bulk.

Output
relative energy among the computed polymorphs: 3.8 meV per atom
total magnetization: 0.00 μB per formula unit
formation energy from raw total energies: -876 kJ/mol of formula units
raw total energy: -53.9 eV/f.u.
D(E_F): 19.4 states/eV/cell

Cell and atoms, written as CIF:
```
data_Er7Te2Au2
_symmetry_space_group_name_H-M 'I m m 2'
_symmetry_Int_Tables_number 44
_cell_length_a 4.023
_cell_length_b 15.477
_cell_length_c 9.690
_cell_angle_alpha 90.00
_cell_angle_beta 90.00
_cell_angle_gamma 90.00
loop_
_symmetry_equiv_pos_as_xyz
'x,y,z'
'-x,-y,z'
'-x,y,z'
'x,-y,z'
'x+1/2,y+1/2,z+1/2'
'-x+1/2,-y+1/2,z+1/2'
'-x+1/2,y+1/2,z+1/2'
'x+1/2,-y+1/2,z+1/2'
loop_
_atom_site_label
_atom_site_fract_x
_atom_site_fract_y
_atom_site_fract_z
Er1 0.000 0.000 0.000
Er2 0.000 0.128 0.413
Er3 0.000 0.317 0.622
Er4 0.000 0.360 0.261
Te1 0.000 0.000 0.659
Te2 0.000 0.500 0.761
Au1 0.000 0.236 0.924
```

***

The following is a GGA-PBE calculation of a geometry-optimized Er7Te2Au2 structure, from Alexandria via LeMat-Bulk.

Output
relative energy among the computed polymorphs: 405.0 meV per atom
total magnetization: 0.00 μB per formula unit
formation energy from raw total energies: -450 kJ/mol of formula units
raw total energy: -49.4 eV/f.u.
D(E_F): 23.7 states/eV/cell

Cell and atoms, written as CIF:
```
data_Er7Te2Au2
_symmetry_space_group_name_H-M 'C m m m'
_symmetry_Int_Tables_number 65
_symmetry_space_group_name_Hall '-C 2 2'
_cell_length_a 7.958
_cell_length_b 10.574
_cell_length_c 7.586
_cell_angle_alpha 90.00
_cell_angle_beta 90.00
_cell_angle_gamma 90.00
loop_
_atom_site_label
_atom_site_fract_x
_atom_site_fract_y
_atom_site_fract_z
Er1 0.000 0.000 0.000
Er2 0.000 0.500 0.278
Er3 0.250 0.250 0.288
Te1 0.000 0.284 0.000
Au1 0.199 0.000 0.500
```

***

The following is a GGA-PBE calculation of a geometry-optimized ErTe2Au structure, from Alexandria via LeMat-Bulk.

Output
total magnetization: 0.00 μB per formula unit
formation energy from raw total energies: -309 kJ/mol of formula units
raw total energy: -17.3 eV/f.u.

Cell and atoms, written as CIF:
```
data_ErTe2Au
_symmetry_space_group_name_H-M 'R -3 m'
_symmetry_Int_Tables_number 166
_symmetry_space_group_name_Hall '-R 3 2"'
_cell_length_a 4.5227
_cell_length_b 4.5227
_cell_length_c 25.2593
_cell_angle_alpha 90.00
_cell_angle_beta 90.00
_cell_angle_gamma 120.00
loop_
_atom_site_label
_atom_site_fract_x
_atom_site_fract_y
_atom_site_fract_z
Er1 0.0000 0.0000 0.0000
Te1 0.0000 0.0000 0.3974
Au1 0.0000 0.0000 0.5000
```

***

The following is a GGA-PBE calculation of a geometry-optimized Er3TeAu structure, from Alexandria via LeMat-Bulk.

Output
total magnetization: 0.00 μB per formula unit
formation energy from raw total energies: -387 kJ/mol of formula units
raw total energy: -24.1 eV/f.u.
D(E_F): 14.5 states/eV/cell

Cell and atoms, written as CIF:
```
data_Er3TeAu
_symmetry_space_group_name_H-M 'C 1 2/m 1'
_symmetry_Int_Tables_number 12
_cell_length_a 22.117
_cell_length_b 4.000
_cell_length_c 6.166
_cell_angle_alpha 90.00
_cell_angle_beta 99.01
_cell_angle_gamma 90.00
loop_
_symmetry_equiv_pos_as_xyz
'x,y,z'
'-x,-y,-z'
'-x,y,-z'
'x,-y,z'
'x+1/2,y+1/2,z'
'-x+1/2,-y+1/2,-z'
'-x+1/2,y+1/2,-z'
'x+1/2,-y+1/2,z'
loop_
_atom_site_label
_atom_site_fract_x
_atom_site_fract_y
_atom_site_fract_z
Er1 0.004 0.000 0.257
Er2 0.126 0.500 0.570
Er3 0.197 0.000 0.121
Te1 0.087 0.500 0.040
Au1 0.224 0.000 0.641
```